Record 1
Hf8SnRh2: optimized geometry, PBE.

Unit cell a=7.4070 b=7.4070 c=5.1832 alpha=100.03 beta=100.03 gamma=116.52
Closest atoms and distances in Å follow each position.
Element x y z (fractional)
Hf 0.0934 0.3295 0.5698  2 Rh 2.65-2.69
Hf 0.2488 0.7512 0.0000  2 Rh 2.65
Hf 0.3295 0.0934 0.5698  2 Rh 2.65-2.69
Hf 0.4073 0.4073 0.1909  2 Hf 2.81-3.05, 1 Sn 3.00, 2 Rh 3.03
Hf 0.5927 0.5927 0.8091  2 Hf 2.81-3.05, 1 Sn 3.00, 2 Rh 3.03
Hf 0.6705 0.9066 0.4302  2 Rh 2.65-2.69
Hf 0.7512 0.2488 0.0000  2 Rh 2.65
Hf 0.9066 0.6705 0.4302  2 Rh 2.65-2.69
Sn 0.0000 0.0000 0.0000  8 Hf 3.00-3.23
Rh 0.2920 0.7080 0.5000  6 Hf 2.65-2.69
Rh 0.7080 0.2920 0.5000  6 Hf 2.65-2.69

## Properties
DFT formation energy in meV per atom: -249
Energy in Ry/atom: -0.6754
ρ in g cm⁻³: 12.12



Record 2
CaMgPtRh: optimized geometry, PBE.

Unit cell a=4.6656 b=4.6656 c=4.6656 alpha=60.00 beta=60.00 gamma=60.00
Closest atoms and distances in Å follow each position.
Element x y z (fractional)
Ca 0.0000 0.0000 0.0000  4 Pt 2.86, 4 Rh 2.86
Mg 0.5000 0.5000 0.5000  4 Pt 2.86, 4 Rh 2.86
Pt 0.7500 0.7500 0.7500  4 Mg 2.86, 4 Ca 2.86
Rh 0.2500 0.2500 0.2500  4 Mg 2.86, 4 Ca 2.86

## Properties
DFT formation energy in meV per atom: -562
Energy in Ry/atom: -0.3535
ρ in g cm⁻³: 8.38



Record 3
NiAs: optimized geometry, PBE.

Unit cell a=3.9182 b=3.9182 c=10.6046 alpha=90.00 beta=90.00 gamma=120.00
Closest atoms and distances in Å follow each position.
Element x y z (fractional)
Ni 0.0000 0.0000 0.2500  3 Ni 2.26
Ni 0.0000 0.0000 0.7500  3 Ni 2.26
Ni 0.3333 0.6667 0.2500  3 Ni 2.26
Ni 0.6667 0.3333 0.7500  3 Ni 2.26
As 0.3333 0.6667 0.6277  1 As 2.59, 6 Ni 2.61
As 0.3333 0.6667 0.8723  1 As 2.59, 6 Ni 2.61
As 0.6667 0.3333 0.1277  1 As 2.59, 6 Ni 2.61
As 0.6667 0.3333 0.3723  1 As 2.59, 6 Ni 2.61

## Properties
DFT formation energy in meV per atom: 109
Energy in Ry/atom: -0.3753
ρ in g cm⁻³: 6.29